Entry from Alexandria via LeMat-Bulk: Li2DyTm2Ga2 after structural relaxation (GGA-PBE).

The space group is R-3m (No. 166, hexagonal axes) and the conventional cell measures 4.5763, 4.5763 and 25.9615 Å, with angles of 90.00, 90.00 and 120.00 degrees. Symmetry generates all atoms from Li at (0.0000, 0.0000, 0.1003), Dy at (0.0000, 0.0000, 0.5000), Tm at (0.0000, 0.0000, 0.3731) and Ga at (0.0000, 0.0000, 0.2399).


Entry from Alexandria via LeMat-Bulk: LiDyYGa after structural relaxation (GGA-PBE).

The space group is F-43m (No. 216) and the conventional cell measures 7.214, 7.214 and 7.214 Å, with angles of 90.00, 90.00 and 90.00 degrees. Symmetry generates all atoms from Li at (0.000, 0.000, 0.000), Dy at (0.250, 0.250, 0.750), Y at (0.250, 0.250, 0.250) and Ga at (0.000, 0.000, 0.500).


Entry from Alexandria via LeMat-Bulk: LiDyZnGa2 after structural relaxation (GGA-PBE).

The space group is I-4m2 (No. 119) and the conventional cell measures 4.140, 4.140 and 10.819 Å, with angles of 90.00, 90.00 and 90.00 degrees. Symmetry generates all atoms from Li at (0.000, 0.000, 0.000), Dy at (0.000, 0.500, 0.750), Zn at (0.000, 0.000, 0.500) and Ga at (0.000, 0.500, 0.137).


Entry from Alexandria via LeMat-Bulk: LiDyZn2Ga2 after structural relaxation (GGA-PBE).

The space group is P-3m1 (No. 164) and the conventional cell measures 4.3152, 4.3152 and 6.6906 Å, with angles of 90.00, 90.00 and 120.00 degrees. Symmetry generates all atoms from Li at (0.0000, 0.0000, 0.0000), Dy at (0.0000, 0.0000, 0.5000), Zn at (0.3333, 0.6667, 0.2006) and Ga at (0.3333, 0.6667, 0.7758).


Entry from Alexandria via LeMat-Bulk: LiDy2Zn4Ga3 after structural relaxation (GGA-PBE).

The space group is P-4m2 (No. 115) and the conventional cell measures 4.159, 4.159 and 10.635 Å, with angles of 90.00, 90.00 and 90.00 degrees. Symmetry generates all atoms from Li at (0.000, 0.000, 0.000), Dy at (0.000, 0.500, 0.745), Zn at (0.000, 0.000, 0.500), Zn at (0.000, 0.500, 0.132), Zn at (0.500, 0.500, 0.500), Ga at (0.000, 0.500, 0.359) and Ga at (0.500, 0.500, 0.000).


Entry from Alexandria via LeMat-Bulk: Dy2LuGa after structural relaxation (GGA-PBE).

The space group is P4/mmm (No. 123) and the conventional cell measures 3.495, 3.495 and 8.857 Å, with angles of 90.00, 90.00 and 90.00 degrees. Symmetry generates all atoms from Dy at (0.000, 0.000, 0.212), Lu at (0.500, 0.500, 0.500) and Ga at (0.500, 0.500, 0.000).

The value obtained for the excess energy over the best structure of this formula in the dataset is 0.000 eV per atom.


Entry from Alexandria via LeMat-Bulk: DyLuGa after structural relaxation (GGA-PBE).

The space group is F-43m (No. 216) and the conventional cell measures 6.944, 6.944 and 6.944 Å, with angles of 90.00, 90.00 and 90.00 degrees. Symmetry generates all atoms from Dy at (0.000, 0.000, 0.000), Lu at (0.000, 0.000, 0.500) and Ga at (0.250, 0.250, 0.750).

The value obtained for the excess energy over the best structure of this formula in the dataset is 0.132 eV per atom.


Entry from Alexandria via LeMat-Bulk: Dy2LuGa after structural relaxation (GGA-PBE).

The space group is P4/mmm (No. 123) and the conventional cell measures 4.693, 4.693 and 4.675 Å, with angles of 90.00, 90.00 and 90.00 degrees. Symmetry generates all atoms from Dy at (0.000, 0.500, 0.000), Lu at (0.000, 0.000, 0.500) and Ga at (0.500, 0.500, 0.500).

The value obtained for the excess energy over the best structure of this formula in the dataset is 0.027 eV per atom.


Entry from Alexandria via LeMat-Bulk: DyLuGa after structural relaxation (GGA-PBE).

The space group is P3m1 (No. 156) and the conventional cell measures 4.9259, 4.9259 and 3.6151 Å, with angles of 90.00, 90.00 and 120.00 degrees. Symmetry generates all atoms from Dy at (0.0000, 0.0000, 0.0000), Lu at (0.3333, 0.6667, 0.4697) and Ga at (0.6667, 0.3333, 0.6660).

The value obtained for the excess energy over the best structure of this formula in the dataset is 0.112 eV per atom.


Entry from Alexandria via LeMat-Bulk: Dy2LuGa after structural relaxation (GGA-PBE).

The space group is Fm-3m (No. 225) and the conventional cell measures 7.465, 7.465 and 7.465 Å, with angles of 90.00, 90.00 and 90.00 degrees. Symmetry generates all atoms from Dy at (0.250, 0.250, 0.250), Lu at (0.000, 0.000, 0.000) and Ga at (0.000, 0.000, 0.500).

The value obtained for the excess energy over the best structure of this formula in the dataset is 0.164 eV per atom.


Entry from Alexandria via LeMat-Bulk: DyLuGa4 after structural relaxation (GGA-PBE).

The space group is F-43m (No. 216) and the conventional cell measures 7.740, 7.740 and 7.740 Å, with angles of 90.00, 90.00 and 90.00 degrees. Symmetry generates all atoms from Dy at (0.000, 0.000, 0.000), Lu at (0.250, 0.250, 0.250) and Ga at (0.125, 0.125, 0.625).


Entry from Alexandria via LeMat-Bulk: DyLuGa2 after structural relaxation (GGA-PBE).

The space group is R-3m (No. 166, hexagonal axes) and the conventional cell measures 3.5900, 3.5900 and 26.0008 Å, with angles of 90.00, 90.00 and 120.00 degrees. Symmetry generates all atoms from Dy at (0.0000, 0.0000, 0.0000), Lu at (0.0000, 0.0000, 0.5000) and Ga at (0.0000, 0.0000, 0.2487).


| no. | D(E_F) (states/eV per cell) | total DFT energy (no corrections) (eV/atom) | energy of formation from the pure elements (kJ per mole of atoms) |
| --- | --- | --- | --- |
| 1 | 14.19 | -3.62 | -26 |
| 2 | 13.70 | -4.33 | -32 |
| 3 | 3.40 | -3.20 | -42 |
| 4 | 3.80 | -2.93 | -40 |
| 5 | 5.02 | -2.92 | -38 |
| 6 | 4.63 | -4.45 | -26 |
| 7 | 17.34 | -4.30 | -24 |
| 8 | 5.17 | -4.43 | -23 |
| 9 | 2.52 | -4.32 | -26 |
| 10 | 24.66 | -4.29 | -10 |
| 11 | 15.56 | -4.06 | -50 |
| 12 | 5.84 | -4.21 | -40 |